# InSiRh4

A relaxed InSiRh4 crystal (PBE-GGA, the Alexandria database).

Total moment, μB per formula unit: 0.000
D(E_F), states/eV/f.u.: 9.02
Theoretical density, g/cm3: 9.3
Excess energy over the best structure of this formula in the dataset, meV/atom: 414
Formation energy (no corrections), eV/atom: 0.1930

a = 7.3316 Å, b = 7.3316 Å, c = 7.3316 Å
α = 90.00°, β = 90.00°, γ = 90.00°
Space group F-43m (No. 216)
Symmetry-distinct sites (fractional):
In 0.0000 0.0000 0.0000 (multiplicity 4)
Si 0.2500 0.2500 0.2500 (multiplicity 4)
Rh 0.1247 0.1247 0.6247 (multiplicity 16)



# InSi2Rh

A relaxed InSi2Rh crystal (PBE-GGA, the Alexandria database).

Total moment, μB per formula unit: 0.000
D(E_F), states/eV/f.u.: 1.42
Theoretical density, g/cm3: 6.2
Formation energy (no corrections), eV/atom: -0.1279

a = 8.4794 Å, b = 2.9355 Å, c = 6.3379 Å
α = 90.00°, β = 110.97°, γ = 90.00°
Space group Cm (No. 8)
Symmetry-distinct sites (fractional):
In 0.0000 0.0000 0.0000 (multiplicity 2)
Si 0.1269 0.5000 0.5817 (multiplicity 2)
Si 0.3029 0.5000 0.2536 (multiplicity 2)
Rh 0.3476 0.0000 0.5833 (multiplicity 2)



# InSiRh2

A relaxed InSiRh2 crystal (PBE-GGA, the Alexandria database).

Total moment, μB per formula unit: 0.000
D(E_F), states/eV/f.u.: 1.33
Theoretical density, g/cm3: 9.6
Formation energy (no corrections), eV/atom: -0.6044

a = 2.9280 Å, b = 2.9255 Å, c = 7.0214 Å
α = 90.00°, β = 90.60°, γ = 90.00°
Space group P2/m (No. 10)
Symmetry-distinct sites (fractional):
In 0.0000 0.0000 0.0000 (multiplicity 1)
Si 0.0000 0.0000 0.5000 (multiplicity 1)
Rh 0.4942 0.5000 0.2968 (multiplicity 2)



# In2Si2Rh

A relaxed In2Si2Rh crystal (PBE-GGA, the Alexandria database).

Total moment, μB per formula unit: 0.000
D(E_F), states/eV/f.u.: 2.02
Theoretical density, g/cm3: 6.9
Formation energy (no corrections), eV/atom: -0.0435

a = 6.3150 Å, b = 6.3150 Å, c = 4.7078 Å
α = 90.00°, β = 90.00°, γ = 90.00°
Space group P4/mbm (No. 127)
Symmetry-distinct sites (fractional):
In 0.1816 0.3184 0.0000 (multiplicity 4)
Si 0.1380 0.6380 0.5000 (multiplicity 4)
Rh 0.0000 0.0000 0.5000 (multiplicity 2)



# InSiRh4

A relaxed InSiRh4 crystal (PBE-GGA, the Alexandria database).

Total moment, μB per formula unit: 0.000
D(E_F), states/eV/f.u.: 8.44
Theoretical density, g/cm3: 9.1
Excess energy over the best structure of this formula in the dataset, meV/atom: 0
Formation energy (no corrections), eV/atom: -0.2206

a = 4.0111 Å, b = 4.0111 Å, c = 6.3194 Å
α = 90.00°, β = 90.00°, γ = 90.00°
Space group P4/mmm (No. 123)
Symmetry-distinct sites (fractional):
In 0.0000 0.0000 0.0000 (multiplicity 1)
Si 0.5000 0.5000 0.5000 (multiplicity 1)
Rh 0.0000 0.5000 0.2845 (multiplicity 4)



# InSi2Rh

A relaxed InSi2Rh crystal (PBE-GGA, the Alexandria database).

Total moment, μB per formula unit: 0.000
D(E_F), states/eV/f.u.: 2.60
Theoretical density, g/cm3: 6.6
Formation energy (no corrections), eV/atom: -0.0810

a = 2.9946 Å, b = 2.9946 Å, c = 7.6270 Å
α = 90.00°, β = 90.00°, γ = 90.00°
Space group P4/mmm (No. 123)
Symmetry-distinct sites (fractional):
In 0.0000 0.0000 0.0000 (multiplicity 1)
Si 0.5000 0.5000 0.3064 (multiplicity 2)
Rh 0.0000 0.0000 0.5000 (multiplicity 1)



What did the fourth record say?
# In2Si2Rh

A relaxed In2Si2Rh crystal (PBE-GGA, the Alexandria database).

Total moment, μB per formula unit: 0.000
D(E_F), states/eV/f.u.: 2.02
Theoretical density, g/cm3: 6.9
Formation energy (no corrections), eV/atom: -0.0435

a = 6.3150 Å, b = 6.3150 Å, c = 4.7078 Å
α = 90.00°, β = 90.00°, γ = 90.00°
Space group P4/mbm (No. 127)
Symmetry-distinct sites (fractional):
In 0.1816 0.3184 0.0000 (multiplicity 4)
Si 0.1380 0.6380 0.5000 (multiplicity 4)
Rh 0.0000 0.0000 0.5000 (multiplicity 2)